(1)
TiHg3S4 GGA-PBE optimized geometry; E_form (uncorrected) = -0.362 eV/atom; ρ = 5.90 g/cm³; SG = Pmn2_1 (31)
1.0
8.869 0.000 0.000
0.000 7.041 0.000
0.000 0.000 7.010
Ti Hg S
2 6 8
direct
0.000 0.198 0.000 Ti
0.500 0.802 0.500 Ti
0.000 0.827 0.508 Hg
0.245 0.685 0.003 Hg
0.255 0.315 0.503 Hg
0.500 0.173 0.008 Hg
0.745 0.315 0.503 Hg
0.755 0.685 0.003 Hg
0.000 0.222 0.672 S
0.000 0.879 0.084 S
0.210 0.332 0.132 S
0.290 0.668 0.632 S
0.500 0.121 0.584 S
0.500 0.778 0.172 S
0.710 0.668 0.632 S
0.790 0.332 0.132 S

(2)
Co4SiRh GGA-PBE optimized geometry; E_form (uncorrected) = 0.105 eV/atom; ρ = 8.49 g/cm³; SG = F-43m (216)
1.0
0.000 3.298 3.298
3.298 0.000 3.298
3.298 3.298 0.000
Co Si Rh
4 1 1
direct
0.125 0.125 0.125 Co
0.125 0.125 0.624 Co
0.125 0.624 0.125 Co
0.624 0.125 0.125 Co
0.500 0.500 0.500 Si
0.750 0.750 0.750 Rh

(3)
TbHo6Zr GGA-PBE optimized geometry; calculated formation energy = 52 meV/atom; ΔE to the lowest computed polymorph = 0.00 kcal/mol of atoms; ρ = 8.65 g/cm³; SG = P4/mmm (123)
1.0
4.924 0.000 0.000
0.000 4.924 0.000
0.000 0.000 9.821
Tb Ho Zr
1 6 1
direct
0.000 0.000 0.000 Tb
0.000 0.500 0.260 Ho
0.000 0.500 0.740 Ho
0.500 0.000 0.260 Ho
0.500 0.000 0.740 Ho
0.500 0.500 0.000 Ho
0.500 0.500 0.500 Ho
0.000 0.000 0.500 Zr

(4)
IrOs3Ru GGA-PBE optimized geometry; calculated formation energy = 213 meV/atom; ΔE to the lowest computed polymorph = 5.27 kcal/mol of atoms; ρ = 19.44 g/cm³; SG = Cmcm (63)
1.0
2.197 -6.151 0.000
2.197 6.151 0.000
0.000 0.000 5.461
Ir Os Ru
2 6 2
direct
0.000 0.000 0.250 Ir
0.000 0.000 0.750 Ir
0.189 0.811 0.502 Os
0.189 0.811 0.998 Os
0.378 0.622 0.750 Os
0.622 0.378 0.250 Os
0.811 0.189 0.002 Os
0.811 0.189 0.498 Os
0.378 0.622 0.250 Ru
0.622 0.378 0.750 Ru

(5)
Dy6ZnOs2 GGA-PBE optimized geometry; calculated formation energy = -245 meV/atom; ρ = 10.31 g/cm³; SG = Immm (71)
1.0
-4.663 4.712 5.206
4.663 -4.712 5.206
4.663 4.712 -5.206
Dy Zn Os
12 2 4
direct
0.015 0.831 0.185 Dy
0.246 0.548 0.302 Dy
0.246 0.943 0.698 Dy
0.277 0.319 0.596 Dy
0.277 0.681 0.958 Dy
0.354 0.169 0.185 Dy
0.646 0.831 0.815 Dy
0.723 0.319 0.042 Dy
0.723 0.681 0.404 Dy
0.754 0.057 0.302 Dy
0.754 0.452 0.698 Dy
0.985 0.169 0.815 Dy
0.000 0.500 0.500 Zn
0.500 0.000 0.500 Zn
0.000 0.182 0.182 Os
0.000 0.818 0.818 Os
0.378 0.378 0.000 Os
0.622 0.622 0.000 Os

(6)
BaLi2Pt GGA-PBE optimized geometry; calculated formation energy = 49 meV/atom; ΔE to the lowest computed polymorph = 11.35 kcal/mol of atoms; ρ = 6.78 g/cm³; SG = Cmmm (65)
1.0
3.002 -4.379 0.000
3.002 4.379 0.000
0.000 0.000 3.227
Ba Li Pt
1 2 1
direct
0.000 0.000 0.000 Ba
0.000 0.500 0.500 Li
0.500 0.000 0.500 Li
0.500 0.500 0.000 Pt

(7)
TbOsN GGA-PBE optimized geometry; E_form (uncorrected) = -0.346 eV/atom; ρ = 13.16 g/cm³; SG = Pnma (62)
1.0
5.736 0.000 0.000
0.000 2.901 0.000
0.000 0.000 11.014
Tb Os N
4 4 4
direct
0.150 0.250 0.157 Tb
0.350 0.750 0.657 Tb
0.650 0.250 0.343 Tb
0.850 0.750 0.843 Tb
0.153 0.250 0.429 Os
0.347 0.750 0.929 Os
0.653 0.250 0.071 Os
0.847 0.750 0.571 Os
0.190 0.250 0.821 N
0.310 0.750 0.321 N
0.690 0.250 0.679 N
0.810 0.750 0.179 N

(8)
NaV2Cu GGA-PBE optimized geometry; calculated formation energy = 1033 meV/atom; ΔE to the lowest computed polymorph = 0.54 kcal/mol of atoms; ρ = 4.41 g/cm³; SG = I-42d (122)
1.0
-1.894 1.894 9.894
1.894 -1.894 9.894
1.894 1.894 -9.894
Na V Cu
2 4 2
direct
0.000 0.000 0.000 Na
0.750 0.250 0.500 Na
0.256 0.125 0.631 V
0.375 0.744 0.869 V
0.494 0.625 0.369 V
0.875 0.506 0.131 V
0.250 0.750 0.500 Cu
0.500 0.500 0.000 Cu

(9)
PmAgGePt GGA-PBE optimized geometry; calculated formation energy = -483 meV/atom; ρ = 10.98 g/cm³; SG = F-43m (216)
1.0
0.000 3.402 3.402
3.402 0.000 3.402
3.402 3.402 0.000
Pm Ag Ge Pt
1 1 1 1
direct
0.000 0.000 0.000 Pm
0.250 0.250 0.250 Ag
0.750 0.750 0.750 Ge
0.500 0.500 0.500 Pt

(10)
DyTmScCd GGA-PBE optimized geometry; calculated formation energy = -38 meV/atom; ΔE to the lowest computed polymorph = 2.15 kcal/mol of atoms; ρ = 7.68 g/cm³; SG = F-43m (216)
1.0
0.000 3.753 3.753
3.753 0.000 3.753
3.753 3.753 0.000
Dy Tm Sc Cd
1 1 1 1
direct
0.000 0.000 0.000 Dy
0.500 0.500 0.500 Tm
0.750 0.750 0.750 Sc
0.250 0.250 0.250 Cd

(11)
CoCuHgOsRu GGA-PBE optimized geometry; calculated formation energy = 471 meV/atom; ΔE to the lowest computed polymorph = 4.46 kcal/mol of atoms; ρ = 13.56 g/cm³; SG = P1 (1)
1.0
2.756 0.000 0.000
-1.376 4.375 0.000
-1.378 -1.960 6.241
Co Cu Hg Os Ru
1 1 1 1 1
direct
0.000 0.000 0.000 Co
0.873 0.529 0.210 Cu
0.733 0.073 0.392 Hg
0.586 0.358 0.813 Os
0.206 0.745 0.667 Ru

(12)
TlIn2CoBr GGA-PBE optimized geometry; E_form (uncorrected) = -0.171 eV/atom; ρ = 7.25 g/cm³; SG = P4/mmm (123)
1.0
5.044 0.000 0.000
0.000 5.044 0.000
0.000 0.000 5.154
Tl In Co Br
1 2 1 1
direct
0.000 0.000 0.000 Tl
0.000 0.500 0.500 In
0.500 0.000 0.500 In
0.000 0.000 0.500 Co
0.500 0.500 0.000 Br

Question: Look up the ρ of the twelfth one.
Answer: 7.25 g/cm³

Question: The highest ρ belongs to which entry?
Answer: IrOs3Ru

Question: Which formula does entry 1 have?
Answer: TiHg3S4

Copy entry 3 word for word.
TbHo6Zr GGA-PBE optimized geometry; calculated formation energy = 52 meV/atom; ΔE to the lowest computed polymorph = 0.00 kcal/mol of atoms; ρ = 8.65 g/cm³; SG = P4/mmm (123)
1.0
4.924 0.000 0.000
0.000 4.924 0.000
0.000 0.000 9.821
Tb Ho Zr
1 6 1
direct
0.000 0.000 0.000 Tb
0.000 0.500 0.260 Ho
0.000 0.500 0.740 Ho
0.500 0.000 0.260 Ho
0.500 0.000 0.740 Ho
0.500 0.500 0.000 Ho
0.500 0.500 0.500 Ho
0.000 0.000 0.500 Zr